Here is an optimized crystal structure of LiAc3Mn2O9 from Alexandria. Energies are from GGA+U.

Results
**Volume**: 184 Å³/cell
**DFT total energy**: -0.275 hartree per atom

The structure in extended XYZ format:
```
15
Lattice="5.5677 0.0000 0.0000 -2.7838 4.8218 0.0000 0.0000 0.0000 6.8477" Properties=species:S:1:pos:R:3 pbc="T T T"
Li 0.0000 0.0000 3.4239
Ac 0.0000 3.2145 4.5099
Ac 0.0000 0.0000 0.0000
Ac 2.7838 1.6072 2.3378
Mn 0.0000 3.2145 1.1621
Mn 2.7838 1.6072 5.6856
O 4.1192 0.8363 4.6265
O 2.7838 3.1492 4.6265
O 1.4484 0.8363 4.6265
O 1.3354 3.9855 2.2212
O 0.0000 1.6725 2.2212
O -1.3354 3.9855 2.2212
O 2.7838 0.0000 0.0000
O -1.3919 2.4109 0.0000
O 1.3919 2.4109 0.0000
```